(1)
{
  "formula": "Sm3AuO6",
  "functional": "PBE",
  "state": "optimized geometry",
  "lattice": [[5.670, 0.000, 0.000], [0.000, 7.379, 0.109], [0.000, -1.540, 7.217]],
  "species": ["Sm", "O", "O", "Au", "O", "O", "Au", "Sm", "O", "Sm", "O", "O", "Sm", "O", "Sm", "O", "O", "O", "O", "Sm"],
  "fractional_positions": [[0.465, 0.332, 0.094], [0.192, 0.359, 0.328], [0.153, 0.783, 0.217], [0.965, 0.131, 0.869], [0.692, 0.641, 0.672], [0.192, 0.672, 0.641], [0.465, 0.869, 0.131], [0.965, 0.094, 0.332], [0.682, 0.593, 0.107], [0.411, 0.397, 0.603], [0.182, 0.407, 0.893], [0.682, 0.893, 0.407], [0.911, 0.603, 0.397], [0.653, 0.217, 0.783], [0.965, 0.668, 0.906], [0.278, 0.033, 0.967], [0.778, 0.967, 0.033], [0.692, 0.328, 0.359], [0.182, 0.107, 0.593], [0.465, 0.906, 0.668]],
  "e_form_raw_ev_per_atom": -2.507,
  "space_group": "Cmc2_1 (36)",
  "de_polymorph_ev_per_atom": 0.149
}

(2)
{
  "formula": "PmThPaPb",
  "functional": "PBE",
  "state": "optimized geometry",
  "lattice": [[5.513, 0.000, 0.000], [2.756, 4.774, 0.000], [2.756, 1.591, 4.501]],
  "species": ["Pa", "Pm", "Th", "Pb"],
  "fractional_positions": [[0.500, 0.500, 0.500], [0.750, 0.750, 0.750], [0.250, 0.250, 0.250], [0.000, 0.000, 0.000]],
  "e_form_ev_per_fu": 0.67,
  "space_group": "F-43m (216)"
}

(3)
{
  "formula": "Ac6Ir2CI3",
  "functional": "PBE",
  "state": "optimized geometry",
  "lattice": [[-2.392, -5.802, 4.105], [7.337, 1.472, -0.491], [-2.199, 6.509, 5.645]],
  "species": ["I", "I", "Ir", "C", "Ac", "I", "Ac", "Ac", "Ac", "Ac", "Ir", "Ac"],
  "fractional_positions": [[0.832, 0.168, 0.500], [0.500, 0.500, 0.500], [0.333, 0.667, 0.000], [0.000, 0.000, 0.000], [0.059, 0.377, 0.178], [0.168, 0.832, 0.500], [0.258, 0.258, 0.821], [0.377, 0.059, 0.178], [0.941, 0.623, 0.822], [0.623, 0.941, 0.822], [0.667, 0.333, 0.000], [0.742, 0.742, 0.179]],
  "e_form_raw_ev_per_atom": -0.854,
  "space_group": "C2/m (12)"
}

(4)
{
  "formula": "SmHoTmMg",
  "functional": "PBE",
  "state": "optimized geometry",
  "lattice": [[-3.888, 3.870, -0.381], [-5.228, -1.229, 1.180], [-2.336, 2.008, 4.555]],
  "species": ["Ho", "Mg", "Tm", "Sm"],
  "fractional_positions": [[0.500, 0.500, 0.500], [0.250, 0.250, 0.250], [0.750, 0.750, 0.750], [0.000, 0.000, 0.000]],
  "e_form_ev_per_fu": 0.13,
  "space_group": "F-43m (216)",
  "de_polymorph_ev_per_atom": 0.055
}

(5)
{
  "formula": "LaY3Te",
  "functional": "PBE",
  "state": "optimized geometry",
  "lattice": [[-1.637, -5.334, -1.351], [5.402, -1.289, -1.455], [1.048, -1.686, 5.387]],
  "species": ["Y", "Te", "Y", "Y", "La"],
  "fractional_positions": [[0.000, 0.500, 0.000], [0.000, 0.000, 0.000], [0.500, 0.000, 0.000], [0.000, 0.000, 0.500], [0.500, 0.500, 0.500]],
  "e_form_raw_ev_per_atom": -0.135,
  "space_group": "Pm-3m (221)",
  "de_polymorph_ev_per_atom": 0.000
}

(6)
{
  "formula": "NaSrCd",
  "functional": "PBE",
  "state": "optimized geometry",
  "lattice": [[-3.461, 0.476, 2.249], [-2.216, -1.771, -3.036], [3.705, -4.644, 2.847]],
  "species": ["Sr", "Cd", "Na"],
  "fractional_positions": [[0.603, 0.603, 0.206], [0.941, 0.941, 0.882], [0.306, 0.306, 0.613]],
  "e_form_ev_per_fu": -0.39,
  "space_group": "I4mm (107)",
  "de_polymorph_ev_per_atom": 0.056
}

(7)
{
  "formula": "DyMnCu4P3",
  "functional": "PBE",
  "state": "optimized geometry",
  "lattice": [[3.778, 0.000, 0.000], [0.000, 10.838, 0.000], [0.000, 0.000, 12.546]],
  "species": ["Cu", "Cu", "P", "Cu", "Cu", "Cu", "P", "Mn", "Mn", "Cu", "Cu", "Cu", "Mn", "P", "P", "Dy", "P", "Cu", "Cu", "P", "P", "Cu", "Cu", "Mn", "Cu", "P", "P", "P", "Cu", "Cu", "Dy", "Cu", "P", "Dy", "P", "Dy"],
  "fractional_positions": [[0.750, 0.375, 0.691], [0.250, 0.875, 0.809], [0.250, 0.085, 0.879], [0.750, 0.962, 0.936], [0.750, 0.788, 0.683], [0.250, 0.288, 0.817], [0.250, 0.593, 0.118], [0.750, 0.286, 0.476], [0.250, 0.714, 0.524], [0.750, 0.538, 0.436], [0.750, 0.712, 0.183], [0.750, 0.588, 0.996], [0.250, 0.786, 0.024], [0.250, 0.258, 0.624], [0.750, 0.093, 0.382], [0.250, 0.915, 0.292], [0.750, 0.742, 0.376], [0.250, 0.412, 0.004], [0.750, 0.125, 0.191], [0.750, 0.407, 0.882], [0.750, 0.758, 0.876], [0.250, 0.625, 0.309], [0.250, 0.212, 0.317], [0.750, 0.214, 0.976], [0.750, 0.912, 0.496], [0.750, 0.585, 0.621], [0.750, 0.915, 0.121], [0.250, 0.415, 0.379], [0.250, 0.088, 0.504], [0.250, 0.462, 0.564], [0.750, 0.085, 0.708], [0.250, 0.038, 0.064], [0.250, 0.242, 0.124], [0.750, 0.415, 0.208], [0.250, 0.907, 0.618], [0.250, 0.585, 0.792]],
  "e_form_ev_per_fu": -4.23,
  "space_group": "Pnma (62)"
}

(8)
{
  "formula": "PaGaAs2Rh5",
  "functional": "PBE",
  "state": "optimized geometry",
  "lattice": [[-3.264, 2.416, -0.373], [-1.967, -2.226, 2.795], [3.110, 5.176, 6.312]],
  "species": ["Pa", "Rh", "Ga", "As", "Rh", "Rh", "Rh", "Rh", "As"],
  "fractional_positions": [[0.000, 0.000, 0.000], [0.500, 0.500, 0.500], [0.000, 0.000, 0.500], [0.500, 0.500, 0.860], [0.500, 0.000, 0.713], [0.000, 0.500, 0.287], [0.000, 0.500, 0.713], [0.500, 0.000, 0.287], [0.500, 0.500, 0.140]],
  "e_form_ev_per_fu": -5.05,
  "space_group": "P4/mmm (123)"
}